1.
Compound: BaCuAu
Source: Alexandria
Functional: GGA-PBEsol
Structure: optimized geometry

Energy of formation in meV per atom: -361
E in eV for the cell shown: -11.49
Symmetry: P-6m2

Cell: 4.4966 4.4966 4.3876 Å, 90.00 90.00 120.00°
Fractional positions:
Au: 0.0000 0.0000 0.1665
Cu: 0.6667 0.3333 0.1668
Ba: 0.3333 0.6667 0.6666

2.
Compound: La4ZrCl
Source: Alexandria
Functional: GGA-PBEsol
Structure: optimized geometry

E in eV for the cell shown: -30.35
Symmetry: F-43m

Cell: 6.3334 6.3334 6.3334 Å, 60.00 60.00 60.00°
Fractional positions:
Cl: 0.0000 0.0000 0.0000
La: 0.3779 0.3779 0.8664
Zr: 0.7500 0.7500 0.7500
La: 0.3779 0.8664 0.3779
La: 0.3779 0.3779 0.3779
La: 0.8664 0.3779 0.3779

3.
Compound: K2PbAu
Source: Alexandria
Functional: GGA-PBEsol
Structure: optimized geometry

Energy of formation in meV per atom: -129
E in eV for the cell shown: -10.71
Symmetry: Amm2

Cell: 4.9499 4.8614 6.5580 Å, 111.76 90.00 90.00°
Fractional positions:
K: 0.0000 0.0935 0.1870
Pb: 0.0000 0.7962 0.5924
K: 0.5000 0.3996 0.7992
Au: 0.5000 0.6994 0.3988

4.
Compound: RbZnP3
Source: Alexandria
Functional: GGA-PBEsol
Structure: optimized geometry

Energy of formation in meV per atom: 2227
E in eV for the cell shown: -8.85
Symmetry: Pm-3m

Cell: 5.3005 5.3005 5.3005 Å, 90.00 90.00 90.00°
Fractional positions:
P: 0.0000 0.0000 0.5000
P: 0.0000 0.5000 0.0000
Rb: 0.0000 0.0000 0.0000
P: 0.5000 0.0000 0.0000
Zn: 0.5000 0.5000 0.5000

5.
Compound: KTl2Cd
Source: Alexandria
Functional: GGA-PBEsol
Structure: optimized geometry

Energy of formation in meV per atom: -61
E in eV for the cell shown: -7.83
Symmetry: P4/mmm

Cell: 3.6939 3.6939 8.4852 Å, 90.00 90.00 90.00°
Fractional positions:
Tl: 0.0000 0.0000 0.7950
K: 0.5000 0.5000 0.5000
Cd: 0.5000 0.5000 0.0000
Tl: 0.0000 0.0000 0.2050

6.
Compound: Hf2SiS
Source: Alexandria
Functional: GGA-PBEsol
Structure: optimized geometry

E in eV for the cell shown: -33.93
Symmetry: Fm-3m

Cell: 4.5622 4.5622 4.5622 Å, 60.00 60.00 60.00°
Fractional positions:
Si: 0.0000 0.0000 0.0000
S: 0.5000 0.5000 0.5000
Hf: 0.2500 0.2500 0.2500
Hf: 0.7500 0.7500 0.7500

7.
Compound: MgCuHg
Source: Alexandria
Functional: GGA-PBEsol
Structure: optimized geometry

Energy of formation in meV per atom: -111
E in eV for the cell shown: -6.95
Symmetry: I4mm

Cell: 3.3855 3.3855 4.9704 Å, 109.91 109.91 90.00°
Fractional positions:
Hg: 0.3380 0.3380 0.6760
Cu: 0.0028 0.0028 0.0056
Mg: 0.6592 0.6592 0.3184

8.
Compound: Cd2InHg
Source: Alexandria
Functional: GGA-PBEsol
Structure: optimized geometry

Energy of formation in meV per atom: 9
E in eV for the cell shown: -5.91
Symmetry: R3m

Cell: 3.2747 3.2747 9.8246 Å, 80.41 80.41 60.00°
Fractional positions:
Hg: 0.4976 0.4976 0.5073
Cd: 0.7500 0.7500 0.7500
In: 0.2498 0.2498 0.2507
Cd: 0.0026 0.0026 0.9921

Among the records above, which one has the highest E?
Cd2InHg

Look up the E of the second one.
-30.35 eV for the cell shown